AcZrIn after structural relaxation. Source: OQMD via LeMat-Bulk, functional PBE-GGA.

Properties
The energy above the lowest structure with this stoichiometry is 586 meV per atom. For the raw total energy, the calculation gives -4.26 eV per atom. Its crystal system is cubic.

abc: 7.698 7.698 7.698
angles: 90.00 90.00 90.00
Space group F-43m (No. 216)
Inequivalent atoms, fractional coordinates:
Ac1 0.000 0.000 0.000 [4 per cell]
Zr1 0.250 0.250 0.250 [4 per cell]
In1 0.250 0.250 0.750 [4 per cell]